{
  "formula": "LaY2Ag2",
  "functional": "PBE",
  "state": "relaxed",
  "de_polymorph_ev_per_fu": 0.09,
  "formation_energy_ev_per_atom": -0.1992,
  "final_energy_ev_per_atom": -4.911,
  "magnetic_moment_mub_per_fu": 0.00,
  "cell": [[-6.334, 5.445, -1.260], [-5.268, -6.453, -1.403], [-0.849, -0.121, 3.748]],
  "species": ["Y", "Y", "Y", "Y", "La", "La", "Ag", "Ag", "Ag", "Ag"],
  "frac_coords": [[0.836, 0.336, 0.500], [0.164, 0.664, 0.500], [0.336, 0.164, 0.500], [0.664, 0.836, 0.500], [0.000, 0.000, 0.000], [0.500, 0.500, 0.000], [0.625, 0.125, 0.000], [0.125, 0.375, 0.000], [0.875, 0.625, 0.000], [0.375, 0.875, 0.000]]
}